(1)
Here is SrAcTbSm after structural relaxation from the Alexandria database. Energies are from PBE.

Results
Crystal system: cubic
Formation energy (eV per atom): 0.203

abc: 8.6052 8.6052 8.6052
angles: 90.00 90.00 90.00
Closest atoms and distances in Å follow each position.
Positions (direct):
Sr (0.0000, 0.0000, 0.0000)  4 Ac 3.73, 4 Sm 3.73
Sr (0.0000, 0.5000, 0.5000)  4 Ac 3.73, 4 Sm 3.73
Sr (0.5000, 0.0000, 0.5000)  4 Ac 3.73, 4 Sm 3.73
Sr (0.5000, 0.5000, 0.0000)  4 Ac 3.73, 4 Sm 3.73
Ac (0.2500, 0.2500, 0.7500)  4 Tb 3.73, 4 Sr 3.73
Ac (0.2500, 0.7500, 0.2500)  4 Tb 3.73, 4 Sr 3.73
Ac (0.7500, 0.2500, 0.2500)  4 Tb 3.73, 4 Sr 3.73
Ac (0.7500, 0.7500, 0.7500)  4 Sr 3.73, 4 Tb 3.73
Tb (0.0000, 0.0000, 0.5000)  4 Sm 3.73, 4 Ac 3.73
Tb (0.0000, 0.5000, 0.0000)  4 Sm 3.73, 4 Ac 3.73
Tb (0.5000, 0.0000, 0.0000)  4 Sm 3.73, 4 Ac 3.73
Tb (0.5000, 0.5000, 0.5000)  4 Sm 3.73, 4 Ac 3.73
Sm (0.2500, 0.2500, 0.2500)  4 Tb 3.73, 4 Sr 3.73
Sm (0.2500, 0.7500, 0.7500)  4 Tb 3.73, 4 Sr 3.73
Sm (0.7500, 0.2500, 0.7500)  4 Tb 3.73, 4 Sr 3.73
Sm (0.7500, 0.7500, 0.2500)  4 Tb 3.73, 4 Sr 3.73

(2)
Here is SrAc2SmTe5 after structural relaxation from the Alexandria database. Energies are from PBE.

Results
Crystal system: tetragonal
Formation energy from raw total energies (eV per atom): -1.124

abc: 5.6407 5.6407 12.0474
angles: 90.00 90.00 90.00
Closest atoms and distances in Å follow each position.
Positions (direct):
Sr (0.0000, 0.0000, 0.0000)  2 Te 3.02
Ac (0.5000, 0.5000, 0.3081)  9 Te 3.65-4.05
Ac (0.5000, 0.5000, 0.6919)  9 Te 3.65-4.05
Sm (0.0000, 0.0000, 0.5000)  6 Te 2.82-3.00
Te (0.0000, 0.0000, 0.2510)  1 Sm 3.00, 1 Sr 3.02
Te (0.0000, 0.0000, 0.7490)  1 Sm 3.00, 1 Sr 3.02
Te (0.0000, 0.5000, 0.5000)  2 Sm 2.82
Te (0.5000, 0.0000, 0.5000)  2 Sm 2.82
Te (0.5000, 0.5000, 0.0000)  2 Ac 3.71, 4 Sr 3.99

(3)
Here is SrAc3Sm2Te6 after structural relaxation from the Alexandria database. Energies are from PBE.

Results
Crystal system: monoclinic
Formation energy from raw total energies (eV per atom): -1.481

abc: 10.3653 10.3653 9.3279
angles: 103.37 103.37 25.67
Closest atoms and distances in Å follow each position.
Positions (direct):
Sr (0.0000, 0.0000, 0.0000)  6 Te 3.24-3.27
Ac (0.0000, 0.0000, 0.5000)  6 Te 3.32
Ac (0.3353, 0.3353, 0.1720)  6 Te 3.32-3.39
Ac (0.6647, 0.6647, 0.8280)  6 Te 3.32-3.39
Sm (0.3294, 0.3294, 0.6576)  6 Te 3.15-3.24
Sm (0.6706, 0.6706, 0.3424)  6 Te 3.15-3.24
Te (0.1664, 0.1664, 0.0958)  2 Sm 3.24, 1 Sr 3.27, 3 Ac 3.32-3.39
Te (0.1692, 0.1692, 0.5733)  3 Sm 3.15-3.16, 3 Ac 3.32
Te (0.4930, 0.4930, 0.7519)  1 Sm 3.21, 2 Sr 3.24, 3 Ac 3.32-3.37
Te (0.5070, 0.5070, 0.2481)  1 Sm 3.21, 2 Sr 3.24, 3 Ac 3.32-3.37
Te (0.8308, 0.8308, 0.4267)  3 Sm 3.15-3.16, 3 Ac 3.32
Te (0.8336, 0.8336, 0.9042)  2 Sm 3.24, 1 Sr 3.27, 3 Ac 3.32-3.39

(4)
Here is SrAc2Sm3Te6 after structural relaxation from the Alexandria database. Energies are from PBE.

Results
Crystal system: monoclinic
Formation energy from raw total energies (eV per atom): -1.469

abc: 10.2657 10.2657 9.2462
angles: 103.39 103.39 25.59
Closest atoms and distances in Å follow each position.
Positions (direct):
Sr (0.0000, 0.0000, 0.0000)  6 Te 3.28-3.30
Ac (0.3309, 0.3309, 0.6629)  6 Te 3.31-3.36
Ac (0.6691, 0.6691, 0.3372)  6 Te 3.31-3.36
Sm (0.0000, 0.0000, 0.5000)  6 Te 3.13-3.19
Sm (0.3317, 0.3317, 0.1708)  6 Te 3.13-3.21
Sm (0.6683, 0.6683, 0.8292)  6 Te 3.13-3.21
Te (0.1608, 0.1608, 0.5926)  3 Sm 3.13, 3 Ac 3.31
Te (0.1684, 0.1684, 0.0705)  3 Sm 3.18-3.19, 1 Sr 3.28, 2 Ac 3.35
Te (0.4965, 0.4965, 0.2561)  3 Sm 3.19-3.21, 2 Sr 3.30, 1 Ac 3.36
Te (0.5035, 0.5035, 0.7439)  3 Sm 3.19-3.21, 2 Sr 3.30, 1 Ac 3.36
Te (0.8316, 0.8316, 0.9295)  3 Sm 3.18-3.19, 1 Sr 3.28, 2 Ac 3.35
Te (0.8392, 0.8392, 0.4074)  3 Sm 3.13, 3 Ac 3.31

(5)
Here is Sr3Ac2SmTe6 after structural relaxation from the Alexandria database. Energies are from PBE.

Results
Crystal system: monoclinic
Formation energy from raw total energies (eV per atom): -1.569

abc: 10.5207 10.5207 9.4326
angles: 104.18 104.18 25.54
Closest atoms and distances in Å follow each position.
Positions (direct):
Sr (0.0000, 0.0000, 0.0000)  6 Te 3.31-3.38
Sr (0.3314, 0.3314, 0.6659)  6 Te 3.28-3.36
Sr (0.6686, 0.6686, 0.3341)  6 Te 3.28-3.36
Ac (0.3360, 0.3360, 0.1717)  6 Te 3.31-3.37
Ac (0.6640, 0.6640, 0.8283)  6 Te 3.31-3.37
Sm (0.0000, 0.0000, 0.5000)  6 Te 3.22-3.24
Te (0.1622, 0.1622, 0.5757)  1 Sm 3.22, 3 Sr 3.28-3.36, 2 Ac 3.32
Te (0.1664, 0.1664, 0.0850)  3 Sr 3.30-3.31, 3 Ac 3.35-3.37
Te (0.4971, 0.4971, 0.7382)  2 Sm 3.24, 3 Sr 3.30-3.38, 1 Ac 3.31
Te (0.5029, 0.5029, 0.2618)  2 Sm 3.24, 3 Sr 3.30-3.38, 1 Ac 3.31
Te (0.8336, 0.8336, 0.9150)  3 Sr 3.30-3.31, 3 Ac 3.35-3.37
Te (0.8378, 0.8378, 0.4243)  1 Sm 3.22, 3 Sr 3.28-3.36, 2 Ac 3.32

(6)
Here is SrAcSmY after structural relaxation from the Alexandria database. Energies are from PBE.

Results
Crystal system: cubic
Formation energy (eV per atom): 0.202

abc: 8.5951 8.5951 8.5951
angles: 90.00 90.00 90.00
Closest atoms and distances in Å follow each position.
Positions (direct):
Sr (0.0000, 0.0000, 0.0000)  4 Y 3.72, 4 Sm 3.72
Sr (0.0000, 0.5000, 0.5000)  4 Y 3.72, 4 Sm 3.72
Sr (0.5000, 0.0000, 0.5000)  4 Y 3.72, 4 Sm 3.72
Sr (0.5000, 0.5000, 0.0000)  4 Y 3.72, 4 Sm 3.72
Ac (0.0000, 0.0000, 0.5000)  4 Sm 3.72, 4 Y 3.72
Ac (0.0000, 0.5000, 0.0000)  4 Sm 3.72, 4 Y 3.72
Ac (0.5000, 0.0000, 0.0000)  4 Sm 3.72, 4 Y 3.72
Ac (0.5000, 0.5000, 0.5000)  4 Sm 3.72, 4 Y 3.72
Sm (0.2500, 0.2500, 0.7500)  4 Ac 3.72, 4 Sr 3.72
Sm (0.2500, 0.7500, 0.2500)  4 Ac 3.72, 4 Sr 3.72
Sm (0.7500, 0.2500, 0.2500)  4 Ac 3.72, 4 Sr 3.72
Sm (0.7500, 0.7500, 0.7500)  4 Ac 3.72, 4 Sr 3.72
Y (0.2500, 0.2500, 0.2500)  4 Ac 3.72, 4 Sr 3.72
Y (0.2500, 0.7500, 0.7500)  4 Ac 3.72, 4 Sr 3.72
Y (0.7500, 0.2500, 0.7500)  4 Ac 3.72, 4 Sr 3.72
Y (0.7500, 0.7500, 0.2500)  4 Ac 3.72, 4 Sr 3.72

(7)
Here is AcSm2Ta after structural relaxation from the Alexandria database. Energies are from PBE.

Results
Crystal system: trigonal
Formation energy (eV per atom): 0.786

abc: 3.4269 3.4269 36.7454
angles: 90.00 90.00 120.00
Closest atoms and distances in Å follow each position.
Positions (direct):
Ac (0.0000, 0.0000, 0.0000)  6 Ac 3.43, 6 Sm 3.77
Ac (0.3333, 0.6667, 0.6667)  6 Ac 3.43, 6 Sm 3.77
Ac (0.6667, 0.3333, 0.3333)  6 Ac 3.43, 6 Sm 3.77
Sm (0.0000, 0.0000, 0.4206)  1 Ta 2.92
Sm (0.0000, 0.0000, 0.5794)  1 Ta 2.92
Sm (0.3333, 0.6667, 0.0873)  1 Ta 2.92
Sm (0.3333, 0.6667, 0.2460)  1 Ta 2.92
Sm (0.6667, 0.3333, 0.7540)  1 Ta 2.92
Sm (0.6667, 0.3333, 0.9127)  1 Ta 2.92
Ta (0.0000, 0.0000, 0.5000)  2 Sm 2.92
Ta (0.3333, 0.6667, 0.1667)  2 Sm 2.92
Ta (0.6667, 0.3333, 0.8333)  2 Sm 2.92

(8)
Here is Ac2SmTa after structural relaxation from the Alexandria database. Energies are from PBE.

Results
Crystal system: trigonal
Formation energy (eV per atom): 0.888

abc: 3.4955 3.4955 37.6786
angles: 90.00 90.00 120.00
Closest atoms and distances in Å follow each position.
Positions (direct):
Ac (0.0000, 0.0000, 0.0805)  1 Ta 3.03
Ac (0.0000, 0.0000, 0.9195)  1 Ta 3.03
Ac (0.3333, 0.6667, 0.5862)  1 Ta 3.03
Ac (0.3333, 0.6667, 0.7471)  1 Ta 3.03
Ac (0.6667, 0.3333, 0.2529)  1 Ta 3.03
Ac (0.6667, 0.3333, 0.4138)  1 Ta 3.03
Sm (0.0000, 0.0000, 0.5000)  6 Sm 3.50, 6 Ac 3.82
Sm (0.3333, 0.6667, 0.1667)  6 Sm 3.50, 6 Ac 3.82
Sm (0.6667, 0.3333, 0.8333)  6 Sm 3.50, 6 Ac 3.82
Ta (0.0000, 0.0000, 0.0000)  2 Ac 3.03
Ta (0.3333, 0.6667, 0.6667)  2 Ac 3.03
Ta (0.6667, 0.3333, 0.3333)  2 Ac 3.03

(9)
Here is Ac2Tb5Sm after structural relaxation from the Alexandria database. Energies are from PBE.

Results
Crystal system: tetragonal
Formation energy (eV per atom): 0.049

abc: 5.2576 5.2576 20.3359
angles: 90.00 90.00 90.00
Closest atoms and distances in Å follow each position.
Positions (direct):
Ac (0.0000, 0.0000, 0.2499)  4 Ac 3.72, 8 Tb 3.74-3.75
Ac (0.0000, 0.0000, 0.7501)  4 Ac 3.72, 8 Tb 3.74-3.75
Ac (0.5000, 0.5000, 0.2501)  4 Ac 3.72, 8 Tb 3.74-3.75
Ac (0.5000, 0.5000, 0.7499)  4 Ac 3.72, 8 Tb 3.74-3.75
Tb (0.0000, 0.0000, 0.0000)  8 Tb 3.57, 4 Sm 3.72
Tb (0.0000, 0.5000, 0.1188)  2 Sm 3.57, 6 Tb 3.57-3.72, 4 Ac 3.74-3.75
Tb (0.0000, 0.5000, 0.3812)  6 Tb 3.57-3.72, 2 Sm 3.57, 4 Ac 3.74-3.75
Tb (0.0000, 0.5000, 0.6188)  6 Tb 3.57-3.72, 2 Sm 3.57, 4 Ac 3.74-3.75
Tb (0.0000, 0.5000, 0.8812)  2 Sm 3.57, 6 Tb 3.57-3.72, 4 Ac 3.74-3.75
Tb (0.5000, 0.0000, 0.1188)  2 Sm 3.57, 6 Tb 3.57-3.72, 4 Ac 3.74-3.75
Tb (0.5000, 0.0000, 0.3812)  6 Tb 3.57-3.72, 2 Sm 3.57, 4 Ac 3.74-3.75
Tb (0.5000, 0.0000, 0.6188)  6 Tb 3.57-3.72, 2 Sm 3.57, 4 Ac 3.74-3.75
Tb (0.5000, 0.0000, 0.8812)  2 Sm 3.57, 6 Tb 3.57-3.72, 4 Ac 3.74-3.75
Tb (0.5000, 0.5000, 0.5000)  8 Tb 3.57, 4 Sm 3.72
Sm (0.0000, 0.0000, 0.5000)  12 Tb 3.57-3.72
Sm (0.5000, 0.5000, 0.0000)  12 Tb 3.57-3.72

(10)
Here is Ac8TbSm5 after structural relaxation from the Alexandria database. Energies are from PBE.

Results
Crystal system: triclinic
Formation energy (eV per atom): 0.064

abc: 7.5938 9.2075 9.5036
angles: 114.09 101.52 102.01
Closest atoms and distances in Å follow each position.
Positions (direct):
Ac (0.0000, 0.0000, 0.0000)  6 Sm 3.47-3.80, 1 Tb 3.70
Ac (0.0767, 0.7234, 0.5865)  8 Ac 3.78-4.08, 5 Sm 3.86-4.14
Ac (0.2755, 0.8404, 0.2699)  8 Ac 3.79-4.07, 4 Sm 3.90-4.06, 1 Tb 4.05
Ac (0.3524, 0.5739, 0.8620)  5 Sm 3.45-3.83, 1 Tb 3.61, 1 Ac 3.76
Ac (0.4741, 0.1737, 0.7325)  6 Sm 3.54-3.93, 3 Ac 3.76-3.96, 1 Tb 3.86
Ac (0.5742, 0.7217, 0.5894)  8 Ac 3.78-4.11, 1 Tb 3.82, 4 Sm 3.90-4.15
Ac (0.6808, 0.2883, 0.4259)  6 Sm 3.52-3.86, 1 Tb 3.78
Ac (0.7763, 0.8394, 0.2717)  7 Ac 3.79-4.06, 5 Sm 3.88-4.06, 1 Tb 4.04
Tb (0.3822, 0.3980, 0.1400)  6 Ac 3.61-4.04, 5 Sm 3.70-3.90
Sm (0.1772, 0.2883, 0.4276)  7 Ac 3.59-3.96, 1 Tb 3.77, 2 Sm 3.82-3.86
Sm (0.5020, 0.0038, 0.0068)  5 Ac 3.45-3.80, 1 Tb 3.70, 1 Sm 3.70
Sm (0.8557, 0.5690, 0.8612)  5 Ac 3.47-3.83, 2 Sm 3.52-3.67
Sm (0.8844, 0.3977, 0.1321)  4 Sm 3.52-3.83, 4 Ac 3.71-3.86, 2 Tb 3.76-3.83
Sm (0.9731, 0.1778, 0.7259)  6 Ac 3.59-3.88, 3 Sm 3.67-3.86, 1 Tb 3.90

(11)
Here is AcTb6Sm3 after structural relaxation from the Alexandria database. Energies are from PBE.

Results
Crystal system: orthorhombic
Formation energy (eV per atom): 0.137
Energy above the lowest structure with this stoichiometry (meV per atom): 0

abc: 9.1885 9.1885 9.0567
angles: 90.00 90.00 116.61
Closest atoms and distances in Å follow each position.
Positions (direct):
Ac (0.2219, 0.7781, 0.5000)  3 Sm 3.46-3.64, 6 Tb 3.52-3.87
Ac (0.7781, 0.2219, 0.0000)  3 Sm 3.46-3.64, 6 Tb 3.52-3.87
Tb (0.0310, 0.3165, 0.5846)  3 Sm 3.35-3.69, 5 Tb 3.36-3.60
Tb (0.1772, 0.4705, 0.2444)  3 Sm 3.35-3.63, 4 Tb 3.40-3.75, 1 Ac 3.53
Tb (0.2842, 0.7158, 0.8735)  3 Tb 3.37-3.56, 2 Sm 3.40, 1 Ac 3.52
Tb (0.3165, 0.0310, 0.0846)  3 Sm 3.35-3.69, 5 Tb 3.36-3.60
Tb (0.4496, 0.5504, 0.6029)  4 Sm 3.37-3.66, 5 Tb 3.47-3.75, 1 Ac 3.68
Tb (0.4705, 0.1772, 0.7444)  3 Sm 3.35-3.63, 4 Tb 3.40-3.75, 1 Ac 3.53
Tb (0.5295, 0.8228, 0.2444)  3 Sm 3.35-3.63, 4 Tb 3.40-3.75, 1 Ac 3.53
Tb (0.5504, 0.4496, 0.1029)  4 Sm 3.37-3.66, 5 Tb 3.47-3.75, 1 Ac 3.68
Tb (0.6835, 0.9690, 0.5846)  3 Sm 3.35-3.69, 5 Tb 3.36-3.60
Tb (0.7158, 0.2842, 0.3735)  3 Tb 3.37-3.56, 2 Sm 3.40, 1 Ac 3.52
Tb (0.8228, 0.5295, 0.7444)  3 Sm 3.35-3.63, 4 Tb 3.40-3.75, 1 Ac 3.53
Tb (0.9690, 0.6835, 0.0846)  3 Sm 3.35-3.69, 5 Tb 3.36-3.60
Sm (0.0482, 0.9518, 0.7374)  2 Sm 3.40, 1 Ac 3.46, 4 Tb 3.49-3.69
Sm (0.1981, 0.3174, 0.9134)  7 Tb 3.35-3.66, 1 Sm 3.40, 1 Ac 3.64
Sm (0.3174, 0.1981, 0.4134)  7 Tb 3.35-3.66, 1 Sm 3.40, 1 Ac 3.64
Sm (0.6826, 0.8019, 0.9134)  7 Tb 3.35-3.66, 1 Sm 3.40, 1 Ac 3.64
Sm (0.8019, 0.6826, 0.4134)  7 Tb 3.35-3.66, 1 Sm 3.40, 1 Ac 3.64
Sm (0.9518, 0.0482, 0.2374)  2 Sm 3.40, 1 Ac 3.46, 4 Tb 3.49-3.69

(12)
Here is Ac2Tb5Sm12 after structural relaxation from the Alexandria database. Energies are from PBE.

Results
Crystal system: monoclinic
Formation energy (eV per atom): 0.116
Energy above the lowest structure with this stoichiometry (meV per atom): 0

abc: 10.7554 10.7554 6.3423
angles: 99.59 99.59 66.40
Closest atoms and distances in Å follow each position.
Positions (direct):
Ac (0.2190, 0.7810, 0.0000)  6 Sm 3.42-3.74
Ac (0.7810, 0.2190, 0.0000)  6 Sm 3.42-3.74
Tb (0.1730, 0.1730, 0.8897)  9 Sm 3.44-3.85, 2 Tb 3.65-3.77
Tb (0.2821, 0.2821, 0.4408)  9 Sm 3.51-3.78, 3 Tb 3.65-3.87
Tb (0.5000, 0.5000, 0.5000)  6 Sm 3.34-3.44
Tb (0.7179, 0.7179, 0.5592)  9 Sm 3.51-3.78, 3 Tb 3.65-3.87
Tb (0.8270, 0.8270, 0.1103)  9 Sm 3.44-3.85, 2 Tb 3.65-3.77
Sm (0.0507, 0.5351, 0.7825)  5 Sm 3.39-3.61, 4 Tb 3.51-3.72, 1 Ac 3.74
Sm (0.0794, 0.0794, 0.3603)  3 Tb 3.44-3.71, 3 Sm 3.46-3.65, 2 Ac 3.55
Sm (0.1602, 0.6348, 0.3920)  3 Tb 3.34-3.67, 4 Sm 3.39-3.67, 1 Ac 3.42
Sm (0.3652, 0.8398, 0.6080)  3 Tb 3.34-3.67, 4 Sm 3.39-3.67, 1 Ac 3.42
Sm (0.3908, 0.3908, 0.9880)  4 Tb 3.44-3.85, 4 Sm 3.47-3.78, 2 Ac 3.84
Sm (0.4649, 0.9493, 0.2175)  5 Sm 3.39-3.61, 4 Tb 3.51-3.72, 1 Ac 3.74
Sm (0.5351, 0.0507, 0.7825)  5 Sm 3.39-3.61, 4 Tb 3.51-3.72, 1 Ac 3.74
Sm (0.6092, 0.6092, 0.0120)  4 Tb 3.44-3.85, 4 Sm 3.47-3.78, 2 Ac 3.84
Sm (0.6348, 0.1602, 0.3920)  3 Tb 3.34-3.67, 4 Sm 3.39-3.67, 1 Ac 3.42
Sm (0.8398, 0.3652, 0.6080)  3 Tb 3.34-3.67, 4 Sm 3.39-3.67, 1 Ac 3.42
Sm (0.9206, 0.9206, 0.6397)  3 Tb 3.44-3.71, 3 Sm 3.46-3.65, 2 Ac 3.55
Sm (0.9493, 0.4649, 0.2175)  5 Sm 3.39-3.61, 4 Tb 3.51-3.72, 1 Ac 3.74

Total magnetization? In order: 0.0002 0.0000 0.0000 0.0000 0.0000 0.0001 0.0007 0.0002 0.0000 0.0000 0.0000 0.0000 μB/atom.
DOS at the Fermi energy? In order: 28.6 3.8 6.0 5.8 5.3 28.6 22.3 21.4 24.4 21.9 26.6 27.1 states/eV/cell.